Here is PbC2S2N2 after structural relaxation from Alexandria. Energies are from PBEsol.

E_tot, eV/atom: -6.90
ΔE_f (raw), kJ/mol of atoms: 11
DOS at the Fermi energy, states/eV/cell: 0.0

Cell and atoms, written as CIF:
```
data_PbC2S2N2
_space_group_name_H-M_alt 'P 1'
_space_group_IT_number 1
_cell_length_a 5.840
_cell_length_b 5.840
_cell_length_c 8.100
_cell_angle_alpha 90.55
_cell_angle_beta 90.55
_cell_angle_gamma 67.40
loop_
_space_group_symop_operation_xyz
'x,y,z'
loop_
_atom_site_label
_atom_site_type_symbol
_atom_site_fract_x
_atom_site_fract_y
_atom_site_fract_z
Pb1 Pb 0.095 0.905 0.750
Pb2 Pb 0.905 0.095 0.250
C1 C 0.243 0.515 0.104
C2 C 0.485 0.757 0.396
C3 C 0.515 0.243 0.604
C4 C 0.757 0.485 0.896
S1 S 0.232 0.353 0.670
S2 S 0.353 0.232 0.170
S3 S 0.647 0.768 0.830
S4 S 0.768 0.647 0.330
N1 N 0.159 0.724 0.057
N2 N 0.276 0.841 0.443
N3 N 0.724 0.159 0.557
N4 N 0.841 0.276 0.943
```

=====

Here is Er8In3Co after structural relaxation from Alexandria. Energies are from PBEsol.

E_tot, eV/atom: -5.06
DOS at the Fermi energy, states/eV/cell: 5.5
ΔE_f, eV/atom: -0.387

Cell and atoms, written as CIF:
```
data_Er8In3Co
_space_group_name_H-M_alt 'P 1'
_space_group_IT_number 1
_cell_length_a 10.100
_cell_length_b 10.100
_cell_length_c 6.802
_cell_angle_alpha 90.00
_cell_angle_beta 90.00
_cell_angle_gamma 120.00
loop_
_space_group_symop_operation_xyz
'x,y,z'
loop_
_atom_site_label
_atom_site_type_symbol
_atom_site_fract_x
_atom_site_fract_y
_atom_site_fract_z
Er1 Er 0.000 0.000 0.280
Er2 Er 0.000 0.000 0.780
Er3 Er 0.068 0.534 0.291
Er4 Er 0.178 0.357 0.000
Er5 Er 0.178 0.822 0.000
Er6 Er 0.333 0.667 0.681
Er7 Er 0.357 0.178 0.500
Er8 Er 0.466 0.534 0.291
Er9 Er 0.466 0.932 0.291
Er10 Er 0.534 0.068 0.791
Er11 Er 0.534 0.466 0.791
Er12 Er 0.643 0.822 0.000
Er13 Er 0.667 0.333 0.181
Er14 Er 0.822 0.178 0.500
Er15 Er 0.822 0.643 0.500
Er16 Er 0.932 0.466 0.791
In1 In 0.163 0.326 0.538
In2 In 0.163 0.837 0.538
In3 In 0.326 0.163 0.038
In4 In 0.674 0.837 0.538
In5 In 0.837 0.163 0.038
In6 In 0.837 0.674 0.038
Co1 Co 0.333 0.667 0.070
Co2 Co 0.667 0.333 0.570
```

=====

Here is AgAsPt2 after structural relaxation from Alexandria. Energies are from PBEsol.

E_tot, eV/atom: -5.59
DOS at the Fermi energy, states/eV/cell: 1.4
ΔE_f, eV/atom: -0.003

Cell and atoms, written as CIF:
```
data_AgAsPt2
_space_group_name_H-M_alt 'P 1'
_space_group_IT_number 1
_cell_length_a 4.815
_cell_length_b 4.815
_cell_length_c 4.815
_cell_angle_alpha 130.69
_cell_angle_beta 130.69
_cell_angle_gamma 72.31
loop_
_space_group_symop_operation_xyz
'x,y,z'
loop_
_atom_site_label
_atom_site_type_symbol
_atom_site_fract_x
_atom_site_fract_y
_atom_site_fract_z
Ag1 Ag 0.000 0.000 0.000
As1 As 0.500 0.500 0.000
Pt1 Pt 0.250 0.750 0.500
Pt2 Pt 0.750 0.250 0.500
```

=====

Here is Eu3B2O6 after structural relaxation from Alexandria. Energies are from PBEsol.

E_tot, eV/atom: -9.86
ΔE_f (raw), kJ/mol of atoms: -274

Cell and atoms, written as CIF:
```
data_Eu3B2O6
_space_group_name_H-M_alt 'P 1'
_space_group_IT_number 1
_cell_length_a 6.583
_cell_length_b 6.583
_cell_length_c 6.583
_cell_angle_alpha 85.65
_cell_angle_beta 85.65
_cell_angle_gamma 85.65
loop_
_space_group_symop_operation_xyz
'x,y,z'
loop_
_atom_site_label
_atom_site_type_symbol
_atom_site_fract_x
_atom_site_fract_y
_atom_site_fract_z
Eu1 Eu 0.102 0.750 0.398
Eu2 Eu 0.250 0.602 0.898
Eu3 Eu 0.398 0.102 0.750
Eu4 Eu 0.602 0.898 0.250
Eu5 Eu 0.750 0.398 0.102
Eu6 Eu 0.898 0.250 0.602
B1 B 0.114 0.114 0.114
B2 B 0.386 0.386 0.386
B3 B 0.614 0.614 0.614
B4 B 0.886 0.886 0.886
O1 O 0.039 0.896 0.728
O2 O 0.104 0.272 0.961
O3 O 0.228 0.396 0.539
O4 O 0.272 0.961 0.104
O5 O 0.396 0.539 0.228
O6 O 0.461 0.772 0.604
O7 O 0.539 0.228 0.396
O8 O 0.604 0.461 0.772
O9 O 0.728 0.039 0.896
O10 O 0.772 0.604 0.461
O11 O 0.896 0.728 0.039
O12 O 0.961 0.104 0.272
```

=====

Here is Ba2MnCrI after structural relaxation from Alexandria. Energies are from PBEsol.

E_tot, eV/atom: -4.45
ΔE_f (raw), kJ/mol of atoms: 74
DOS at the Fermi energy, states/eV/cell: 6.8

Cell and atoms, written as CIF:
```
data_Ba2MnCrI
_space_group_name_H-M_alt 'P 1'
_space_group_IT_number 1
_cell_length_a 6.480
_cell_length_b 6.480
_cell_length_c 5.014
_cell_angle_alpha 90.00
_cell_angle_beta 90.00
_cell_angle_gamma 90.00
loop_
_space_group_symop_operation_xyz
'x,y,z'
loop_
_atom_site_label
_atom_site_type_symbol
_atom_site_fract_x
_atom_site_fract_y
_atom_site_fract_z
Ba1 Ba 0.000 0.500 0.000
Ba2 Ba 0.500 0.000 0.000
Mn1 Mn 0.000 0.000 0.500
Cr1 Cr 0.500 0.500 0.500
I1 I 0.500 0.500 0.000
```

=====

Here is CaPd3Ru after structural relaxation from Alexandria. Energies are from PBEsol.

E_tot, eV/atom: -5.46
DOS at the Fermi energy, states/eV/cell: 6.6
ΔE_f, eV/atom: 0.576

Cell and atoms, written as CIF:
```
data_CaPd3Ru
_space_group_name_H-M_alt 'P 1'
_space_group_IT_number 1
_cell_length_a 4.751
_cell_length_b 4.751
_cell_length_c 4.751
_cell_angle_alpha 90.00
_cell_angle_beta 90.00
_cell_angle_gamma 90.00
loop_
_space_group_symop_operation_xyz
'x,y,z'
loop_
_atom_site_label
_atom_site_type_symbol
_atom_site_fract_x
_atom_site_fract_y
_atom_site_fract_z
Ca1 Ca 0.000 0.000 0.000
Pd1 Pd 0.000 0.500 0.500
Pd2 Pd 0.500 0.000 0.500
Pd3 Pd 0.500 0.500 0.000
Ru1 Ru 0.500 0.500 0.500
```

=====

Here is Li3MgZn after structural relaxation from Alexandria. Energies are from PBEsol.

E_tot, eV/atom: -1.66
DOS at the Fermi energy, states/eV/cell: 1.8
ΔE_f, eV/atom: 0.183

Cell and atoms, written as CIF:
```
data_Li3MgZn
_space_group_name_H-M_alt 'P 1'
_space_group_IT_number 1
_cell_length_a 4.713
_cell_length_b 4.713
_cell_length_c 4.713
_cell_angle_alpha 90.00
_cell_angle_beta 90.00
_cell_angle_gamma 90.00
loop_
_space_group_symop_operation_xyz
'x,y,z'
loop_
_atom_site_label
_atom_site_type_symbol
_atom_site_fract_x
_atom_site_fract_y
_atom_site_fract_z
Li1 Li 0.000 0.000 0.500
Li2 Li 0.000 0.500 0.000
Li3 Li 0.500 0.000 0.000
Mg1 Mg 0.500 0.500 0.500
Zn1 Zn 0.000 0.000 0.000
```

=====

Here is Tl5Pb4 after structural relaxation from Alexandria. Energies are from PBEsol.

E_tot, eV/atom: -3.19
DOS at the Fermi energy, states/eV/cell: 9.3
ΔE_f, eV/atom: 0.044

Cell and atoms, written as CIF:
```
data_Tl5Pb4
_space_group_name_H-M_alt 'P 1'
_space_group_IT_number 1
_cell_length_a 9.535
_cell_length_b 9.535
_cell_length_c 6.642
_cell_angle_alpha 90.00
_cell_angle_beta 90.00
_cell_angle_gamma 120.00
loop_
_space_group_symop_operation_xyz
'x,y,z'
loop_
_atom_site_label
_atom_site_type_symbol
_atom_site_fract_x
_atom_site_fract_y
_atom_site_fract_z
Tl1 Tl 0.000 0.351 0.250
Tl2 Tl 0.000 0.649 0.750
Tl3 Tl 0.333 0.667 0.000
Tl4 Tl 0.333 0.667 0.500
Tl5 Tl 0.351 0.000 0.250
Tl6 Tl 0.351 0.351 0.750
Tl7 Tl 0.649 0.000 0.750
Tl8 Tl 0.649 0.649 0.250
Tl9 Tl 0.667 0.333 0.000
Tl10 Tl 0.667 0.333 0.500
Pb1 Pb 0.000 0.000 0.000
Pb2 Pb 0.000 0.000 0.500
Pb3 Pb 0.000 0.314 0.750
Pb4 Pb 0.000 0.686 0.250
Pb5 Pb 0.314 0.000 0.750
Pb6 Pb 0.314 0.314 0.250
Pb7 Pb 0.686 0.000 0.250
Pb8 Pb 0.686 0.686 0.750
```

=====

Here is W2BrCl after structural relaxation from Alexandria. Energies are from PBEsol.

E_tot, eV/atom: -6.35
ΔE_f (raw), kJ/mol of atoms: 147
DOS at the Fermi energy, states/eV/cell: 4.6
E above lowest polymorph, eV/atom: 1.338

Cell and atoms, written as CIF:
```
data_W2BrCl
_space_group_name_H-M_alt 'P 1'
_space_group_IT_number 1
_cell_length_a 4.846
_cell_length_b 4.846
_cell_length_c 4.846
_cell_angle_alpha 130.58
_cell_angle_beta 130.58
_cell_angle_gamma 72.48
loop_
_space_group_symop_operation_xyz
'x,y,z'
loop_
_atom_site_label
_atom_site_type_symbol
_atom_site_fract_x
_atom_site_fract_y
_atom_site_fract_z
W1 W 0.250 0.750 0.500
W2 W 0.750 0.250 0.500
Br1 Br 0.000 0.000 0.000
Cl1 Cl 0.500 0.500 0.000
```

=====

Here is Cr4TcSe after structural relaxation from Alexandria. Energies are from PBEsol.

E_tot, eV/atom: -8.92
ΔE_f (raw), kJ/mol of atoms: 41
DOS at the Fermi energy, states/eV/cell: 7.6

Cell and atoms, written as CIF:
```
data_Cr4TcSe
_space_group_name_H-M_alt 'P 1'
_space_group_IT_number 1
_cell_length_a 4.730
_cell_length_b 4.730
_cell_length_c 4.730
_cell_angle_alpha 60.00
_cell_angle_beta 60.00
_cell_angle_gamma 60.00
loop_
_space_group_symop_operation_xyz
'x,y,z'
loop_
_atom_site_label
_atom_site_type_symbol
_atom_site_fract_x
_atom_site_fract_y
_atom_site_fract_z
Cr1 Cr 0.376 0.376 0.376
Cr2 Cr 0.376 0.376 0.871
Cr3 Cr 0.376 0.871 0.376
Cr4 Cr 0.871 0.376 0.376
Tc1 Tc 0.000 0.000 0.000
Se1 Se 0.750 0.750 0.750
```

=====

Here is CsAlTe3 after structural relaxation from Alexandria. Energies are from PBEsol.

E_tot, eV/atom: -3.73
ΔE_f (raw), kJ/mol of atoms: -59
E above lowest polymorph, eV/atom: 0.000

Cell and atoms, written as CIF:
```
data_CsAlTe3
_space_group_name_H-M_alt 'P 1'
_space_group_IT_number 1
_cell_length_a 7.995
_cell_length_b 13.607
_cell_length_c 7.179
_cell_angle_alpha 90.00
_cell_angle_beta 102.72
_cell_angle_gamma 90.00
loop_
_space_group_symop_operation_xyz
'x,y,z'
loop_
_atom_site_label
_atom_site_type_symbol
_atom_site_fract_x
_atom_site_fract_y
_atom_site_fract_z
Cs1 Cs 0.235 0.078 0.204
Cs2 Cs 0.235 0.422 0.704
Cs3 Cs 0.765 0.578 0.296
Cs4 Cs 0.765 0.922 0.796
Al1 Al 0.329 0.726 0.349
Al2 Al 0.329 0.774 0.849
Al3 Al 0.671 0.226 0.151
Al4 Al 0.671 0.274 0.651
Te1 Te 0.045 0.680 0.860
Te2 Te 0.045 0.820 0.360
Te3 Te 0.232 0.564 0.153
Te4 Te 0.232 0.936 0.653
Te5 Te 0.482 0.165 0.826
Te6 Te 0.482 0.335 0.326
Te7 Te 0.518 0.665 0.674
Te8 Te 0.518 0.835 0.174
Te9 Te 0.768 0.064 0.347
Te10 Te 0.768 0.436 0.847
Te11 Te 0.955 0.180 0.640
Te12 Te 0.955 0.320 0.140
```

=====

Here is CeSi2Ag2 after structural relaxation from Alexandria. Energies are from PBEsol.

E_tot, eV/atom: -5.38
ΔE_f (raw), kJ/mol of atoms: -43
DOS at the Fermi energy, states/eV/cell: 5.8

Cell and atoms, written as CIF:
```
data_CeSi2Ag2
_space_group_name_H-M_alt 'P 1'
_space_group_IT_number 1
_cell_length_a 6.036
_cell_length_b 6.036
_cell_length_c 6.036
_cell_angle_alpha 139.61
_cell_angle_beta 139.61
_cell_angle_gamma 58.44
loop_
_space_group_symop_operation_xyz
'x,y,z'
loop_
_atom_site_label
_atom_site_type_symbol
_atom_site_fract_x
_atom_site_fract_y
_atom_site_fract_z
Ce1 Ce 0.000 0.000 0.000
Si1 Si 0.391 0.391 0.000
Si2 Si 0.609 0.609 0.000
Ag1 Ag 0.250 0.750 0.500
Ag2 Ag 0.750 0.250 0.500
```